Entry from Alexandria: crystalline HfTaSnO6 at its relaxed geometry (PBE-GGA).

The structure in POSCAR format:
```
HfTaSnO6
1.0
5.3783 0.0000 0.0000
-2.6892 4.6578 0.0000
0.0000 0.0000 9.4582
O Sn Ta Hf
12 2 2 2
Direct
0.6503 0.6395 0.1350
0.3497 0.9892 0.6350
0.9892 0.6395 0.3650
0.0108 0.6503 0.8650
0.0108 0.3605 0.6350
0.9892 0.3497 0.1350
0.6503 0.0108 0.3650
0.3605 0.3497 0.3650
0.3605 0.0108 0.1350
0.6395 0.9892 0.8650
0.6395 0.6503 0.6350
0.3497 0.3605 0.8650
0.0000 0.0000 0.0000
0.0000 0.0000 0.5000
0.6667 0.3333 0.2500
0.3333 0.6667 0.7500
0.3333 0.6667 0.2500
0.6667 0.3333 0.7500
```

Results
Formation energy from raw total energies   -23.1 eV per formula unit
DOS at the Fermi energy   6.76 states/eV per cell
Mass density   8.05 g cm⁻³

---

Entry from Alexandria: crystalline HfSnTeO6 at its relaxed geometry (PBE-GGA).

The structure in POSCAR format:
```
HfSnTeO6
1.0
5.4449 0.0000 0.0000
-2.7224 4.7154 0.0000
0.0000 0.0000 10.4671
O Sn Te Hf
12 2 2 2
Direct
0.0187 0.6328 0.8549
0.0187 0.3859 0.6451
0.3859 0.3672 0.3549
0.6141 0.6328 0.6451
0.6328 0.0187 0.3549
0.3859 0.0187 0.1451
0.9813 0.3672 0.1451
0.9813 0.6141 0.3549
0.3672 0.3859 0.8549
0.3672 0.9813 0.6451
0.6141 0.9813 0.8549
0.6328 0.6141 0.1451
0.0000 0.0000 0.5000
0.0000 0.0000 0.0000
0.6667 0.3333 0.2500
0.3333 0.6667 0.7500
0.6667 0.3333 0.7500
0.3333 0.6667 0.2500
```

Results
Formation energy from raw total energies   -16.6 eV per formula unit
Mass density   6.44 g cm⁻³

---

Entry from Alexandria: crystalline HfTiSnO6 at its relaxed geometry (PBE-GGA).

The structure in POSCAR format:
```
HfTiSnO6
1.0
4.7855 0.0000 0.0000
0.0000 4.7855 0.0000
0.0000 0.0000 9.4468
O Sn Ti Hf
12 2 2 2
Direct
0.8096 0.1904 0.4926
0.2040 0.7960 0.8331
0.1913 0.8087 0.1729
0.6913 0.6913 0.6729
0.2960 0.2960 0.3331
0.6904 0.6904 0.9926
0.8087 0.1913 0.1729
0.7040 0.7040 0.3331
0.3096 0.3096 0.9926
0.7960 0.2040 0.8331
0.3087 0.3087 0.6729
0.1904 0.8096 0.4926
0.5000 0.5000 0.5002
0.0000 0.0000 0.0002
0.0000 0.0000 0.3356
0.5000 0.5000 0.8356
0.5000 0.5000 0.1670
0.0000 0.0000 0.6670
```

Results
Formation energy from raw total energies   -24.2 eV per formula unit
DOS at the Fermi energy   0.00 states/eV per cell
Mass density   6.77 g cm⁻³

---

Entry from Alexandria: crystalline HfTiSn2O6 at its relaxed geometry (PBE-GGA).

The structure in POSCAR format:
```
HfTiSn2O6
1.0
-2.4411 0.6612 5.1262
-5.5058 1.4904 0.3729
-3.8685 -3.7879 1.8334
O Hf Ti Sn
6 1 1 2
Direct
0.7437 0.7437 0.2563
0.2563 0.7437 0.7437
0.7437 0.2563 0.2563
0.7437 0.2563 0.7437
0.2563 0.7437 0.2563
0.2563 0.2563 0.7437
0.0000 0.0000 0.0000
0.5000 0.5000 0.5000
0.2500 0.2500 0.2500
0.7500 0.7500 0.7500
```

Results
Formation energy from raw total energies   -23.0 eV per formula unit
DOS at the Fermi energy   0.00 states/eV per cell
Mass density   7.04 g cm⁻³

---

Entry from Alexandria: crystalline HfUSnO6 at its relaxed geometry (PBE-GGA).

The structure in POSCAR format:
```
HfUSnO6
1.0
-1.5175 -3.0132 -4.5601
5.4801 1.0772 0.9927
0.7016 -8.5770 5.4340
Hf Sn O U
2 2 12 2
Direct
0.3333 0.6667 0.2500
0.6667 0.3333 0.7500
0.0000 0.0000 0.0000
0.0000 0.0000 0.5000
0.0004 0.3695 0.1436
0.9996 0.6305 0.8564
0.6309 0.0004 0.8564
0.3695 0.3691 0.8564
0.3691 0.9996 0.1436
0.6305 0.9996 0.3564
0.6309 0.6305 0.6436
0.9996 0.3691 0.6436
0.6305 0.6309 0.1436
0.3695 0.0004 0.6436
0.3691 0.3695 0.3564
0.0004 0.6309 0.3564
0.3333 0.6667 0.7500
0.6667 0.3333 0.2500
```

Results
Formation energy from raw total energies   -24.8 eV per formula unit
Mass density   7.39 g cm⁻³